# 1
Computed, not measured: crystalline DyInPd at its relaxed geometry at the GGA-PBE level of DFT.

It has space group F-43m (No. 216), with a = 6.674 Å, b = 6.674 Å, c = 6.674 Å, α = 90.00°, β = 90.00° and γ = 90.00°. The asymmetric unit holds Dy at (0.000, 0.000, 0.000), In at (0.000, 0.000, 0.500) and Pd at (0.250, 0.250, 0.750).

The calculation puts the formation enthalpy at 0 K at -1.96 eV/f.u.

# 2
Computed, not measured: crystalline Dy4In3Pd at its relaxed geometry at the GGA-PBE level of DFT.

It has space group P4/mmm (No. 123), with a = 3.573 Å, b = 3.573 Å, c = 15.847 Å, α = 90.00°, β = 90.00° and γ = 90.00°. The asymmetric unit holds Dy at (0.000, 0.000, 0.107), Dy at (0.000, 0.000, 0.369), In at (0.500, 0.500, 0.239), In at (0.500, 0.500, 0.500) and Pd at (0.500, 0.500, 0.000).

The calculation puts the formation enthalpy at 0 K at -4.60 eV/f.u.

- Which of these has the lowest formation enthalpy at 0 K?
  Dy4In3Pd